Entry from the Alexandria database: a geometry-optimized Zn2FeCu structure (GGA-PBE).

a b c (Å): 2.6122 3.6546 5.4128
angles (deg): 90.00 90.70 90.00
Closest atoms and distances in Å follow each position.
Space group P2/m (No. 10)
One atom of each set of equivalent atoms:
1 Zn 0.0011 0.0000 0.2480  4 Fe 2.61-2.62, 4 Zn 2.61-2.73, 4 Cu 2.62-2.64
2 Fe 0.5000 0.5000 0.0000  8 Zn 2.61-2.62, 2 Fe 2.61, 2 Cu 2.71
3 Cu 0.5000 0.5000 0.5000  2 Cu 2.61, 8 Zn 2.62-2.64, 2 Fe 2.71

Values from the calculation:
Density ... 8041 kg/m3
V ... 51.67 Å³ per cell
E_form ... 0.02 eV/atom
Density of states at the Fermi level ... 2.42 states/eV/f.u.